A plane-wave DFT calculation with GGA-PBE was carried out for crystalline CaTcW2 at its relaxed geometry.

Calculated values
Energy relative to the elements   0.636 eV/atom
Calculated total energy   -35.730 eV/cell
Relative energy among the computed polymorphs   142 meV per atom
D(E_F)   3.7 states/eV/f.u.
Symmetry   P4/mmm

Cell: 3.0021 3.0021 8.4489 Å, 90.00 90.00 90.00°
Last column: nearest neighbours and their distance in Å.
Positions (direct):
Ca 0.5000 0.5000 0.2500  4 Ca 3.00, 8 W 3.35
W 0.0000 0.0000 0.9430  4 Tc 2.68
W 0.0000 0.0000 0.5570  4 Tc 2.68
Tc 0.5000 0.5000 0.7500  8 W 2.68